Density functional theory data (PBE-GGA) for crystalline ScTa2Tl at its relaxed geometry.

Computed properties:
The energy above the most stable polymorph in this dataset is 0.1868 eV/atom. The calculated density is 12.43 Mg/m³. As for the calculated formation energy: 104 kJ/mol of formula units. For the total magnetic moment, the calculation gives 0.00 μB/cell.

a b c (Å): 5.122 2.990 5.363
angles (deg): 83.85 90.00 90.00
Atoms (fractional coordinates):
Sc1 0.500 0.750 0.750
Ta1 0.000 0.040 0.985
Ta2 0.000 0.460 0.515
Tl1 0.500 0.250 0.250


Density functional theory data (PBE-GGA) for crystalline ScTaTl2 at its relaxed geometry.

Computed properties:
The calculated density is 10.64 Mg/m³. As for the calculated formation energy: 261 kJ/mol of formula units. For the total magnetic moment, the calculation gives 2.14 μB/cell.

a b c (Å): 4.350 4.350 10.908
angles (deg): 78.50 78.50 90.00
Each line ends with the local moment (μB).
Atoms (fractional coordinates):
Sc1 0.500 0.500 0.000  0.20
Sc2 0.250 0.750 0.500  0.20
Tl1 0.638 0.125 0.250  0.01
Tl2 0.112 0.625 0.250  0.01
Tl3 0.375 0.362 0.750  0.01
Tl4 0.875 0.888 0.750  0.01
Ta1 0.000 0.000 0.000  0.48
Ta2 0.750 0.250 0.500  0.48


Density functional theory data (PBE-GGA) for crystalline ScTa2Tl at its relaxed geometry.

Computed properties:
The energy above the most stable polymorph in this dataset is 0.2500 eV/atom. The calculated density is 12.52 Mg/m³. As for the calculated formation energy: 129 kJ/mol of formula units. For the total magnetic moment, the calculation gives 0.00 μB/cell.

a b c (Å): 5.485 5.485 2.985
angles (deg): 90.00 90.00 115.50
Atoms (fractional coordinates):
Sc1 0.000 0.500 0.500
Ta1 0.000 0.000 0.000
Ta2 0.500 0.500 0.000
Tl1 0.500 0.000 0.500


Density functional theory data (PBE-GGA) for crystalline ScTaTl2 at its relaxed geometry.

Computed properties:
The calculated density is 12.08 Mg/m³. As for the calculated formation energy: 94 kJ/mol of formula units. For the total magnetic moment, the calculation gives 0.00 μB/cell.

a b c (Å): 5.736 5.736 5.736
angles (deg): 136.83 136.83 62.71
Atoms (fractional coordinates):
Sc1 0.500 0.500 0.000
Ta1 0.750 0.250 0.500
Tl1 0.000 0.000 0.000
Tl2 0.250 0.750 0.500


Density functional theory data (PBE-GGA) for crystalline ScTa2Tl at its relaxed geometry.

Computed properties:
The energy above the most stable polymorph in this dataset is 0.3008 eV/atom. The calculated density is 12.37 Mg/m³. As for the calculated formation energy: 148 kJ/mol of formula units. For the total magnetic moment, the calculation gives 0.00 μB/cell.

a b c (Å): 2.962 2.962 9.545
angles (deg): 90.00 90.00 101.43
Atoms (fractional coordinates):
Sc1 0.500 0.500 0.750
Ta1 0.000 0.000 0.999
Ta2 0.000 0.000 0.501
Tl1 0.500 0.500 0.250


Density functional theory data (PBE-GGA) for crystalline Sc2TaTl at its relaxed geometry.

Computed properties:
The energy above the most stable polymorph in this dataset is 0.6091 eV/atom. The calculated density is 8.63 Mg/m³. As for the calculated formation energy: 222 kJ/mol of formula units. For the total magnetic moment, the calculation gives 0.00 μB/cell.

a b c (Å): 4.198 4.198 10.797
angles (deg): 78.79 78.79 90.00
Atoms (fractional coordinates):
Sc1 0.617 0.125 0.250
Sc2 0.133 0.625 0.250
Sc3 0.375 0.383 0.750
Sc4 0.875 0.867 0.750
Tl1 0.000 0.000 0.000
Tl2 0.750 0.250 0.500
Ta1 0.500 0.500 0.000
Ta2 0.250 0.750 0.500


Density functional theory data (PBE-GGA) for crystalline ScTa2Tl at its relaxed geometry.

Computed properties:
The energy above the most stable polymorph in this dataset is 0.2100 eV/atom. The calculated density is 12.66 Mg/m³. As for the calculated formation energy: 113 kJ/mol of formula units. For the total magnetic moment, the calculation gives 0.00 μB/cell.

a b c (Å): 5.279 5.279 5.279
angles (deg): 131.77 131.77 70.59
Atoms (fractional coordinates):
Sc1 0.750 0.250 0.500
Ta1 0.000 0.000 0.000
Ta2 0.250 0.750 0.500
Tl1 0.500 0.500 0.000


Density functional theory data (PBE-GGA) for crystalline Sc2TaTl at its relaxed geometry.

Computed properties:
The energy above the most stable polymorph in this dataset is 0.1126 eV/atom. The calculated density is 9.28 Mg/m³. As for the calculated formation energy: 30 kJ/mol of formula units. For the total magnetic moment, the calculation gives 0.00 μB/cell.

a b c (Å): 5.551 5.551 5.551
angles (deg): 134.72 134.72 65.96
Atoms (fractional coordinates):
Sc1 0.000 0.000 0.000
Sc2 0.250 0.750 0.500
Ta1 0.500 0.500 0.000
Tl1 0.750 0.250 0.500